## MnCdSeO2 (GGA+U)

Data for a relaxed MnCdSeO2 crystal.

Cell lengths 4.1115, 4.1115, 5.4612 Å; angles 90.00, 90.00, 90.00 degrees
Fractional positions:
Mn  0.0000  0.0000  0.0000
Cd  0.5000  0.5000  0.5000
Se  0.5000  0.5000  0.0000
O  0.0000  0.5000  0.5000
O  0.5000  0.0000  0.5000

Calculated values
* calculated density: 5006 kg/m3
* crystal system: tetragonal
* E_tot: -4.30 eV/atom
* DOS at the Fermi energy: 5.599 states/eV/cell